No. 1
DFT (GGA-PBE) results for a relaxed structure of SrMnSb2Pb.

For the density, the calculation gives 4695 kg/m³. The formation energy (no corrections) is 1.688 eV/atom. As for the total energy: -2.87 eV/atom.

It has space group P4/mmm (No. 123), with a = 5.930 Å, b = 5.930 Å, c = 5.968 Å, α = 90.00°, β = 90.00° and γ = 90.00°. The inequivalent atoms are Sr at (0.000, 0.000, 0.000), Mn at (0.500, 0.500, 0.500), Sb at (0.000, 0.500, 0.000) and Pb at (0.000, 0.000, 0.500).

=====

No. 2
DFT (GGA-PBE) results for a relaxed structure of MnTcSbPb2.

For the density, the calculation gives 7172 kg/m³. The formation energy (no corrections) is 1.418 eV/atom. As for the total energy: -4.80 eV/atom.

It has space group P4/mmm (No. 123), with a = 5.628 Å, b = 5.628 Å, c = 5.037 Å, α = 90.00°, β = 90.00° and γ = 90.00°. The inequivalent atoms are Mn at (0.000, 0.000, 0.000), Tc at (0.500, 0.500, 0.000), Sb at (0.500, 0.500, 0.500) and Pb at (0.000, 0.500, 0.500).

=====

No. 3
DFT (GGA-PBE) results for a relaxed structure of MnSbTe2Pb.

For the density, the calculation gives 7185 kg/m³. The formation energy (no corrections) is 0.163 eV/atom. As for the total energy: -4.49 eV/atom.

It has space group P4/mmm (No. 123), with a = 5.359 Å, b = 5.359 Å, c = 5.144 Å, α = 90.00°, β = 90.00° and γ = 90.00°. The inequivalent atoms are Mn at (0.000, 0.000, 0.000), Sb at (0.000, 0.000, 0.500), Te at (0.000, 0.500, 0.000) and Pb at (0.500, 0.500, 0.500).

=====

No. 4
DFT (GGA-PBE) results for a relaxed structure of Ti2MnSbPb.

For the density, the calculation gives 5239 kg/m³. The formation energy (no corrections) is 1.087 eV/atom. As for the total energy: -5.47 eV/atom.

It has space group P4/mmm (No. 123), with a = 5.098 Å, b = 5.098 Å, c = 5.850 Å, α = 90.00°, β = 90.00° and γ = 90.00°. The inequivalent atoms are Ti at (0.000, 0.500, 0.000), Mn at (0.000, 0.000, 0.500), Sb at (0.500, 0.500, 0.000) and Pb at (0.500, 0.500, 0.500).

=====

No. 5
DFT (GGA-PBE) results for a relaxed structure of TiMnSbPb2.

For the density, the calculation gives 6593 kg/m³. The formation energy (no corrections) is 0.584 eV/atom. As for the total energy: -5.14 eV/atom.

It has space group P4/mmm (No. 123), with a = 5.508 Å, b = 5.508 Å, c = 5.304 Å, α = 90.00°, β = 90.00° and γ = 90.00°. The inequivalent atoms are Ti at (0.000, 0.000, 0.000), Mn at (0.500, 0.500, 0.500), Sb at (0.000, 0.000, 0.500) and Pb at (0.000, 0.500, 0.000).

=====

No. 6
DFT (GGA-PBE) results for a relaxed structure of YMnSb2Pb.

For the density, the calculation gives 5923 kg/m³. The formation energy (no corrections) is 0.667 eV/atom. As for the total energy: -4.85 eV/atom.

It has space group P4/mmm (No. 123), with a = 5.812 Å, b = 5.812 Å, c = 4.935 Å, α = 90.00°, β = 90.00° and γ = 90.00°. The inequivalent atoms are Y at (0.000, 0.000, 0.000), Mn at (0.500, 0.500, 0.000), Sb at (0.000, 0.500, 0.500) and Pb at (0.500, 0.500, 0.500).

=====

No. 7
DFT (GGA-PBE) results for a relaxed structure of ScMn3Pb.

For the density, the calculation gives 5424 kg/m³. As for the total energy: -6.34 eV/atom.

It has space group Pm-3m (No. 221), with a = 5.035 Å, b = 5.035 Å, c = 5.035 Å, α = 90.00°, β = 90.00° and γ = 90.00°. The inequivalent atoms are Sc at (0.000, 0.000, 0.000), Mn at (0.000, 0.500, 0.500) and Pb at (0.500, 0.500, 0.500).

=====

No. 8
DFT (GGA-PBE) results for a relaxed structure of ScMnPb3.

For the density, the calculation gives 7089 kg/m³. As for the total energy: -4.07 eV/atom.

It has space group Pm-3m (No. 221), with a = 5.529 Å, b = 5.529 Å, c = 5.529 Å, α = 90.00°, β = 90.00° and γ = 90.00°. The inequivalent atoms are Sc at (0.000, 0.000, 0.000), Mn at (0.500, 0.500, 0.500) and Pb at (0.000, 0.000, 0.500).

=====

Please write out number 6 again, unchanged.
DFT (GGA-PBE) results for a relaxed structure of YMnSb2Pb.

For the density, the calculation gives 5923 kg/m³. The formation energy (no corrections) is 0.667 eV/atom. As for the total energy: -4.85 eV/atom.

It has space group P4/mmm (No. 123), with a = 5.812 Å, b = 5.812 Å, c = 4.935 Å, α = 90.00°, β = 90.00° and γ = 90.00°. The inequivalent atoms are Y at (0.000, 0.000, 0.000), Mn at (0.500, 0.500, 0.000), Sb at (0.000, 0.500, 0.500) and Pb at (0.500, 0.500, 0.500).

=====

- Which formula does entry 5 have?
  TiMnSbPb2

=====

- Number 6 is which compound?
  YMnSb2Pb